Sm2ZnGa (PBEsol, relaxed); space-group type = Fm-3m; energy relative to the elements = -0.4704 eV/atom
1.0
0.000 3.583 3.583
3.583 0.000 3.583
3.583 3.583 0.000
Sm Zn Ga
2 1 1
direct
0.250 0.250 0.250 Sm
0.750 0.750 0.750 Sm
0.000 0.000 0.000 Zn
0.500 0.500 0.500 Ga